Record 1
# AlTlSnCl6

A geometry-optimized AlTlSnCl6 structure (PBE-GGA, Alexandria via LeMat-Bulk).

a b c (Å): 6.9502 6.9502 6.7966
angles (deg): 90.00 90.00 120.00
Fractional positions:
Al (0.0000, 0.0000, 0.0000)
Tl (0.3333, 0.6667, 0.5000)
Sn (0.6667, 0.3333, 0.0000)
Cl (0.2790, 0.0087, 0.2035)
Cl (0.2790, 0.2703, 0.7965)
Cl (0.7297, 0.0087, 0.7965)
Cl (0.7297, 0.7210, 0.2035)
Cl (0.9913, 0.2703, 0.2035)
Cl (0.9913, 0.7210, 0.7965)

Output
Final energy = -3.581 eV per atom
Space group = P312 (149)



Record 2
# AlGa2Mo2

A geometry-optimized AlGa2Mo2 structure (PBE-GGA, Alexandria via LeMat-Bulk).

a b c (Å): 6.7364 6.7364 3.6451
angles (deg): 90.00 90.00 90.00
Fractional positions:
Al (0.0000, 0.0000, 0.0000)
Al (0.5000, 0.5000, 0.0000)
Ga (0.1592, 0.3408, 0.5000)
Ga (0.3408, 0.8408, 0.5000)
Ga (0.6592, 0.1592, 0.5000)
Ga (0.8408, 0.6592, 0.5000)
Mo (0.1404, 0.6404, 0.0000)
Mo (0.3596, 0.1404, 0.0000)
Mo (0.6404, 0.8596, 0.0000)
Mo (0.8596, 0.3596, 0.0000)

Output
ΔE_f = 0.050 eV per atom
Space group = P4/mbm (127)
E above lowest polymorph = 7.3 kJ/mol of atoms



Record 3
# GaSbPb

A geometry-optimized GaSbPb structure (PBE-GGA, Alexandria via LeMat-Bulk).

a b c (Å): 7.3341 7.3341 7.3341
angles (deg): 90.00 90.00 90.00
Fractional positions:
Ga (0.0000, 0.0000, 0.0000)
Ga (0.0000, 0.5000, 0.5000)
Ga (0.5000, 0.0000, 0.5000)
Ga (0.5000, 0.5000, 0.0000)
Sb (0.2500, 0.2500, 0.7500)
Sb (0.2500, 0.7500, 0.2500)
Sb (0.7500, 0.2500, 0.2500)
Sb (0.7500, 0.7500, 0.7500)
Pb (0.0000, 0.0000, 0.5000)
Pb (0.0000, 0.5000, 0.0000)
Pb (0.5000, 0.0000, 0.0000)
Pb (0.5000, 0.5000, 0.5000)

Output
Space group = F-43m (216)
E above lowest polymorph = 7.3 kJ/mol of atoms



Record 4
# LaTb3Nd4S8

A geometry-optimized LaTb3Nd4S8 structure (PBE-GGA, Alexandria via LeMat-Bulk).

a b c (Å): 8.0722 8.0722 8.0722
angles (deg): 59.78 59.78 59.78
Fractional positions:
La (0.0000, 0.0000, 0.0000)
Tb (0.0000, 0.5000, 0.5000)
Tb (0.5000, 0.0000, 0.5000)
Tb (0.5000, 0.5000, 0.0000)
Nd (0.0000, 0.0000, 0.5000)
Nd (0.0000, 0.5000, 0.0000)
Nd (0.5000, 0.0000, 0.0000)
Nd (0.5000, 0.5000, 0.5000)
S (0.2513, 0.2513, 0.7389)
S (0.2513, 0.7389, 0.2513)
S (0.2547, 0.2547, 0.2547)
S (0.2611, 0.7487, 0.7487)
S (0.7389, 0.2513, 0.2513)
S (0.7453, 0.7453, 0.7453)
S (0.7487, 0.2611, 0.7487)
S (0.7487, 0.7487, 0.2611)

Output
Final energy = -6.463 eV per atom
Space group = R-3m (166)



Record 5
# Tb3Pr8Nd4

A geometry-optimized Tb3Pr8Nd4 structure (PBE-GGA, Alexandria via LeMat-Bulk).

a b c (Å): 9.4316 9.4316 6.9478
angles (deg): 111.53 111.53 82.26
Fractional positions:
Tb (0.0000, 0.0000, 0.0000)
Tb (0.0000, 0.5000, 0.5000)
Tb (0.5000, 0.0000, 0.5000)
Pr (0.2023, 0.2023, 0.7035)
Pr (0.2020, 0.7980, 0.5000)
Pr (0.2520, 0.2520, 0.2555)
Pr (0.2518, 0.7482, 0.0000)
Pr (0.7482, 0.2518, 0.0000)
Pr (0.7480, 0.7480, 0.7445)
Pr (0.7980, 0.2020, 0.5000)
Pr (0.7977, 0.7977, 0.2965)
Nd (0.0000, 0.5000, 0.0000)
Nd (0.5000, 0.0000, 0.0000)
Nd (0.5000, 0.5000, 0.0000)
Nd (0.5000, 0.5000, 0.5000)

Output
ΔE_f = 0.301 eV per atom
Space group = C2/m (12)
E above lowest polymorph = 17.4 kJ/mol of atoms



Record 6
# MnCu5

A geometry-optimized MnCu5 structure (PBE-GGA, Alexandria via LeMat-Bulk).

a b c (Å): 4.5049 7.7337 4.4977
angles (deg): 90.00 109.75 90.00
Fractional positions:
Mn (0.0000, 0.0000, 0.0000)
Mn (0.5000, 0.5000, 0.0000)
Cu (0.0000, 0.1685, 0.5000)
Cu (0.0000, 0.3334, 0.0000)
Cu (0.0000, 0.5000, 0.5000)
Cu (0.0000, 0.6666, 0.0000)
Cu (0.0000, 0.8315, 0.5000)
Cu (0.5000, 0.0000, 0.5000)
Cu (0.5000, 0.1666, 0.0000)
Cu (0.5000, 0.3315, 0.5000)
Cu (0.5000, 0.6685, 0.5000)
Cu (0.5000, 0.8334, 0.0000)

Output
ΔE_f = 0.051 eV per atom
Space group = C2/m (12)